No. 1
# PBE Sc2CoRe, optimized geometry
data_Sc2CoRe
_chemical_formula_sum 'Sc2 Co1 Re1'
_space_group_name_H-M_alt 'P 1'
_space_group_IT_number 1
_cell_length_a 4.469
_cell_length_b 2.938
_cell_length_c 5.250
_cell_angle_alpha 77.47
_cell_angle_beta 90.00
_cell_angle_gamma 90.00
loop_
_space_group_symop_operation_xyz
'x,y,z'
loop_
_atom_site_label
_atom_site_fract_x
_atom_site_fract_y
_atom_site_fract_z
_atom_site_occupancy
Co1 0.000 0.568 0.502 1
Re1 0.500 0.673 0.752 1
Sc1 0.500 0.250 0.285 1
Sc2 0.000 0.009 0.961 1
# M_tot = 0.94 μB/cell
# ΔH_f (0 K) = 0.067 eV/atom
# electronic total energy = -7.99 eV per atom
# density = 8.3 Mg/m³

***

No. 2
# PBE HPd2Br2, optimized geometry
data_HPd2Br2
_chemical_formula_sum 'H1 Pd2 Br2'
_space_group_name_H-M_alt 'P 1'
_space_group_IT_number 1
_cell_length_a 5.275
_cell_length_b 5.275
_cell_length_c 5.422
_cell_angle_alpha 60.89
_cell_angle_beta 60.89
_cell_angle_gamma 90.00
loop_
_space_group_symop_operation_xyz
'x,y,z'
loop_
_atom_site_label
_atom_site_fract_x
_atom_site_fract_y
_atom_site_fract_z
_atom_site_occupancy
H1 0.000 0.000 0.000 1
Pd1 0.212 0.212 0.577 1
Pd2 0.788 0.788 0.423 1
Br1 0.750 0.250 0.500 1
Br2 0.250 0.750 0.500 1
# M_tot = 0.00 μB/cell
# energy above the lowest structure with this stoichiometry = 0 kJ/mol of formula units
# electronic total energy = -3.44 eV per atom
# density = 5.7 Mg/m³

***

No. 3
# PBE Ba2MgGa12Rh3, optimized geometry
data_Ba2MgGa12Rh3
_chemical_formula_sum 'Ba2 Mg1 Ga12 Rh3'
_space_group_name_H-M_alt 'P 1'
_space_group_IT_number 1
_cell_length_a 8.269
_cell_length_b 8.269
_cell_length_c 8.269
_cell_angle_alpha 69.94
_cell_angle_beta 69.94
_cell_angle_gamma 69.94
loop_
_space_group_symop_operation_xyz
'x,y,z'
loop_
_atom_site_label
_atom_site_fract_x
_atom_site_fract_y
_atom_site_fract_z
_atom_site_occupancy
Ga1 0.649 0.124 0.124 1
Ga2 0.266 0.938 0.266 1
Ga3 0.266 0.266 0.938 1
Ga4 0.876 0.876 0.351 1
Ga5 0.124 0.124 0.649 1
Ga6 0.876 0.351 0.876 1
Ga7 0.734 0.062 0.734 1
Ga8 0.124 0.649 0.124 1
Ga9 0.351 0.876 0.876 1
Ga10 0.734 0.734 0.062 1
Ga11 0.938 0.266 0.266 1
Ga12 0.062 0.734 0.734 1
Rh1 0.000 0.000 0.500 1
Rh2 0.000 0.500 0.000 1
Rh3 0.500 0.000 0.000 1
Ba1 0.386 0.386 0.386 1
Ba2 0.614 0.614 0.614 1
Mg1 0.000 0.000 0.000 1
# M_tot = 0.00 μB/cell
# ΔH_f (0 K) = -0.151 eV/atom
# electronic total energy = -3.70 eV per atom
# density = 5.0 Mg/m³

***

No. 4
# PBE LaTm3As4O12, optimized geometry
data_LaTm3As4O12
_chemical_formula_sum 'La1 Tm3 As4 O12'
_space_group_name_H-M_alt 'P 1'
_space_group_IT_number 1
_cell_length_a 7.059
_cell_length_b 7.059
_cell_length_c 7.059
_cell_angle_alpha 105.63
_cell_angle_beta 105.63
_cell_angle_gamma 105.63
loop_
_space_group_symop_operation_xyz
'x,y,z'
loop_
_atom_site_label
_atom_site_fract_x
_atom_site_fract_y
_atom_site_fract_z
_atom_site_occupancy
O1 0.994 0.665 0.761 1
O2 0.239 0.335 0.006 1
O3 0.500 0.330 0.670 1
O4 0.500 0.064 0.936 1
O5 0.006 0.239 0.335 1
O6 0.670 0.500 0.330 1
O7 0.064 0.936 0.500 1
O8 0.936 0.500 0.064 1
O9 0.761 0.994 0.665 1
O10 0.665 0.761 0.994 1
O11 0.330 0.670 0.500 1
O12 0.335 0.006 0.239 1
As1 0.904 0.096 0.500 1
As2 0.096 0.500 0.904 1
As3 0.500 0.500 0.500 1
As4 0.500 0.904 0.096 1
Tm1 0.432 0.000 0.568 1
Tm2 0.000 0.568 0.432 1
Tm3 0.568 0.432 0.000 1
La1 0.000 0.000 0.000 1
# M_tot = 0.00 μB/cell
# electronic total energy = -6.93 eV per atom
# ΔE_f (raw) = -2.11 eV per atom
# density = 6.2 Mg/m³

***

No. 5
# PBE Ce3Tl4ZnSe8, optimized geometry
data_Ce3Tl4ZnSe8
_chemical_formula_sum 'Ce3 Tl4 Zn1 Se8'
_space_group_name_H-M_alt 'P 1'
_space_group_IT_number 1
_cell_length_a 8.472
_cell_length_b 9.139
_cell_length_c 8.473
_cell_angle_alpha 117.63
_cell_angle_beta 119.99
_cell_angle_gamma 90.00
loop_
_space_group_symop_operation_xyz
'x,y,z'
loop_
_atom_site_label
_atom_site_fract_x
_atom_site_fract_y
_atom_site_fract_z
_atom_site_occupancy
Ce1 0.500 0.500 0.000 1
Ce2 0.000 0.500 0.500 1
Ce3 0.500 0.500 0.500 1
Se1 0.737 0.711 0.474 1
Se2 0.254 0.299 0.026 1
Se3 0.228 0.701 0.974 1
Se4 0.772 0.298 0.544 1
Se5 0.772 0.299 0.026 1
Se6 0.263 0.289 0.526 1
Se7 0.746 0.701 0.974 1
Se8 0.228 0.702 0.456 1
Tl1 0.000 0.000 0.500 1
Tl2 0.500 0.000 0.500 1
Tl3 0.500 0.000 0.000 1
Tl4 0.000 0.000 0.000 1
Zn1 0.000 0.500 0.000 1
# M_tot = 1.99 μB/cell
# electronic total energy = -4.62 eV per atom
# ΔE_f (raw) = -1.09 eV per atom
# density = 6.7 Mg/m³

***

No. 6
# PBE TlPAu4, optimized geometry
data_TlPAu4
_chemical_formula_sum 'Tl1 P1 Au4'
_space_group_name_H-M_alt 'P 1'
_space_group_IT_number 1
_cell_length_a 5.594
_cell_length_b 5.594
_cell_length_c 5.594
_cell_angle_alpha 60.00
_cell_angle_beta 60.00
_cell_angle_gamma 60.00
loop_
_space_group_symop_operation_xyz
'x,y,z'
loop_
_atom_site_label
_atom_site_fract_x
_atom_site_fract_y
_atom_site_fract_z
_atom_site_occupancy
P1 0.750 0.750 0.750 1
Au1 0.874 0.375 0.375 1
Au2 0.375 0.375 0.874 1
Au3 0.375 0.375 0.375 1
Au4 0.375 0.874 0.375 1
Tl1 0.000 0.000 0.000 1
# M_tot = 0.00 μB/cell
# ΔH_f (0 K) = 0.296 eV/atom
# electronic total energy = -3.19 eV per atom
# density = 13.7 Mg/m³

***

No. 7
# PBE CaCo2Br, optimized geometry
data_CaCo2Br
_chemical_formula_sum 'Ca1 Co2 Br1'
_space_group_name_H-M_alt 'P 1'
_space_group_IT_number 1
_cell_length_a 8.424
_cell_length_b 8.424
_cell_length_c 8.424
_cell_angle_alpha 22.66
_cell_angle_beta 22.66
_cell_angle_gamma 22.66
loop_
_space_group_symop_operation_xyz
'x,y,z'
loop_
_atom_site_label
_atom_site_fract_x
_atom_site_fract_y
_atom_site_fract_z
_atom_site_occupancy
Ca1 0.750 0.750 0.750 1
Br1 0.250 0.250 0.250 1
Co1 0.988 0.988 0.988 1
Co2 0.512 0.512 0.512 1
# M_tot = 2.85 μB/cell
# energy above the lowest structure with this stoichiometry = 336 kJ/mol of formula units
# electronic total energy = -3.77 eV per atom
# ΔE_f (raw) = 0.70 eV per atom
# density = 5.1 Mg/m³